Rb2NbS3 | PBE | optimized geometry

## Properties
Formation energy (no corrections), eV per atom: -0.81
Space-group type: Immm
DOS(E_F), states/eV/atom: 0.565
Mass density, g/cm³: 3.24
Total magnetization, μB/f.u.: 0.00
Crystal system: orthorhombic

Cell lengths 9.1716, 9.1716, 9.1716 Å; angles 152.35, 148.86, 42.12 degrees
With the nearest neighbours (Å) after each atom.
Positions (direct):
Rb 0.1563 0.1563 0.0000  7 S 3.31-3.52
Rb 0.8437 0.8437 0.0000  7 S 3.31-3.52
Nb 0.5000 0.5000 0.0000  4 S 2.36-2.46
S 0.0000 0.5000 0.5000  2 Nb 2.46
S 0.3620 0.3620 0.0000  1 Nb 2.36
S 0.6380 0.6380 0.0000  1 Nb 2.36